DFT (PBE) results for a geometry-optimized Pm4DyZn4 structure.

Cell and atoms, written as POSCAR:
```
Pm4DyZn4
1.0
6.3788 0.0000 0.0000
0.0000 8.7846 0.0000
0.0000 0.0000 8.7846
Zn Pm Dy
8 8 2
Direct
0.1459 0.8843 0.7259
0.3541 0.6157 0.7741
0.8541 0.2741 0.8843
0.1459 0.1157 0.2741
0.6459 0.7741 0.3843
0.6459 0.2259 0.6157
0.8541 0.7259 0.1157
0.3541 0.3843 0.2259
0.6057 0.9066 0.7214
0.3943 0.7214 0.0934
0.1057 0.2214 0.5934
0.8943 0.5934 0.7786
0.8943 0.4066 0.2214
0.6057 0.0934 0.2786
0.1057 0.7786 0.4066
0.3943 0.2786 0.9066
0.5000 0.5000 0.5000
0.0000 0.0000 0.0000
```

The calculation puts the energy at -3.27 eV/atom. Its energy of formation from the pure elements is -0.078 eV/atom.